This record from the Alexandria database describes an optimized crystal structure of Li4PmDy3Te8. The functional is PBE.

Unit cell a=8.734 b=8.681 c=8.733 alpha=120.22 beta=120.00 gamma=90.00
Fractional coordinates of all 16 atoms:
Dy1 0.000 0.500 0.500
Dy2 0.500 0.500 0.000
Dy3 0.500 0.500 0.500
Li1 0.000 0.000 0.000
Li2 0.500 0.000 0.000
Li3 0.500 0.000 0.500
Li4 0.000 0.000 0.500
Te1 0.745 0.243 0.490
Te2 0.248 0.246 0.497
Te3 0.752 0.754 0.503
Te4 0.253 0.243 0.998
Te5 0.255 0.757 0.002
Te6 0.745 0.243 0.998
Te7 0.255 0.757 0.510
Te8 0.747 0.757 0.002
Pm1 0.000 0.500 0.000

Its symmetry is R-3m. The raw formation energy is -1.293 eV per atom.